Record 1
The following is a GGA-PBEsol calculation of an optimized crystal structure of CoNiAs2Se, from Alexandria via LeMat-Bulk.

Cell and atoms, written as POSCAR:
```
CoNiAs2Se
1.0
-1.062 -0.318 4.175
3.723 -2.042 0.791
2.151 4.259 0.872
Ni As Co Se
1 2 1 1
direct
0.500 0.500 0.500
0.000 0.500 0.000
0.500 0.000 0.000
0.000 0.000 0.000
0.000 0.000 0.500
```

Values from the calculation:
- final energy (eV per atom) = -4.9463
- symmetry = P4/mmm, No. 123
- E_form (uncorrected) (meV per atom) = 645
- E above lowest polymorph (meV/atom) = 0

Record 2
The following is a GGA-PBEsol calculation of an optimized crystal structure of CoAsO3, from Alexandria via LeMat-Bulk.

Cell and atoms, written as POSCAR:
```
CoAsO3
1.0
3.727 0.000 0.000
0.000 3.727 0.000
0.000 0.000 3.727
As Co O
1 1 3
direct
0.000 0.000 0.000
0.500 0.500 0.500
0.000 0.500 0.000
0.000 0.000 0.500
0.500 0.000 0.000
```

Values from the calculation:
- final energy (eV per atom) = -6.0001
- symmetry = Pm-3m, No. 221
- E_form (uncorrected) (meV per atom) = -282

Record 3
The following is a GGA-PBEsol calculation of an optimized crystal structure of Co8As3O16, from Alexandria via LeMat-Bulk.

Cell and atoms, written as POSCAR:
```
Co8As3O16
1.0
-4.700 -0.446 3.653
-4.763 -3.350 -1.315
0.594 -8.474 4.946
Co As O
8 3 16
direct
0.500 0.000 0.000
0.721 0.272 0.746
0.272 0.721 0.746
0.238 0.238 0.741
0.762 0.762 0.259
0.728 0.279 0.254
0.279 0.728 0.254
0.000 0.500 0.000
0.000 0.000 0.000
0.192 0.192 0.424
0.808 0.808 0.576
0.121 0.121 0.621
0.100 0.666 0.128
0.666 0.100 0.128
0.110 0.110 0.113
0.345 0.345 0.855
0.632 0.632 0.620
0.115 0.612 0.633
0.612 0.115 0.633
0.388 0.885 0.367
0.885 0.388 0.367
0.368 0.368 0.380
0.655 0.655 0.145
0.890 0.890 0.887
0.334 0.900 0.872
0.900 0.334 0.872
0.879 0.879 0.379
```

Values from the calculation:
- final energy (eV per atom) = -6.8429
- symmetry = C2/m, No. 12
- E_form (uncorrected) (meV per atom) = -872

Record 4
The following is a GGA-PBEsol calculation of an optimized crystal structure of CoAsPO2, from Alexandria via LeMat-Bulk.

Cell and atoms, written as POSCAR:
```
CoAsPO2
1.0
3.596 0.000 0.000
0.000 3.596 0.000
0.000 0.000 4.656
P As Co O
1 1 1 2
direct
0.000 0.000 0.500
0.500 0.500 0.500
0.000 0.000 0.000
0.000 0.500 0.000
0.500 0.000 0.000
```

Values from the calculation:
- final energy (eV per atom) = -5.9592
- symmetry = P4/mmm, No. 123
- E_form (uncorrected) (meV per atom) = -133

Record 5
The following is a GGA-PBEsol calculation of an optimized crystal structure of CoAs2PbO, from Alexandria via LeMat-Bulk.

Cell and atoms, written as POSCAR:
```
CoAs2PbO
1.0
-2.178 -2.587 0.081
3.683 -3.046 1.723
-1.244 1.198 4.777
Pb As Co O
1 2 1 1
direct
0.500 0.500 0.500
0.000 0.000 0.500
0.000 0.500 0.000
0.000 0.000 0.000
0.500 0.000 0.000
```

Values from the calculation:
- final energy (eV per atom) = -5.5643
- symmetry = P4/mmm, No. 123
- E_form (uncorrected) (meV per atom) = -125

Record 6
The following is a GGA-PBEsol calculation of an optimized crystal structure of SrCoAs2O7, from Alexandria via LeMat-Bulk.

Cell and atoms, written as POSCAR:
```
SrCoAs2O7
1.0
5.552 0.000 0.004
0.000 8.225 0.000
-0.257 0.000 13.072
O Co As Sr
28 4 8 4
direct
0.305 0.331 0.397
0.195 0.831 0.103
0.695 0.669 0.603
0.805 0.169 0.897
0.368 0.150 0.024
0.132 0.650 0.476
0.632 0.850 0.976
0.868 0.350 0.524
0.031 0.453 0.202
0.469 0.953 0.298
0.969 0.547 0.798
0.531 0.047 0.702
0.718 0.402 0.035
0.782 0.902 0.465
0.282 0.598 0.965
0.218 0.098 0.535
0.349 0.325 0.846
0.151 0.825 0.654
0.651 0.675 0.154
0.849 0.175 0.346
0.327 0.404 0.610
0.173 0.904 0.890
0.534 0.382 0.234
0.827 0.096 0.110
0.034 0.118 0.734
0.466 0.618 0.766
0.966 0.882 0.266
0.673 0.596 0.390
0.657 0.359 0.392
0.843 0.859 0.108
0.343 0.641 0.608
0.157 0.141 0.892
0.332 0.809 0.988
0.168 0.309 0.512
0.832 0.691 0.488
0.668 0.191 0.012
0.256 0.522 0.838
0.744 0.478 0.162
0.244 0.022 0.662
0.756 0.978 0.338
0.208 0.168 0.218
0.292 0.668 0.282
0.792 0.832 0.782
0.708 0.332 0.718
```

Values from the calculation:
- final energy (eV per atom) = -6.6694
- symmetry = P2_1/c, No. 14
- E_form (uncorrected) (meV per atom) = -1530